Cs2PrNi3F12 after structural relaxation. Source: Alexandria, functional PBE with a Hubbard U.

Cell: 7.4737 7.4737 18.6600 Å, 90.00 90.00 120.00°
With the nearest neighbours (Å) after each atom.
Space group R-3m (No. 166, hexagonal axes)
Inequivalent atoms, fractional coordinates:
Cs 0.0000 0.0000 0.1115 (multiplicity 6)  9 F 3.10-3.39
Pr 0.0000 0.0000 0.5000 (multiplicity 3)  6 F 2.33
Ni 0.0000 0.5000 0.0000 (multiplicity 9)  6 F 1.95-2.02
F 0.0152 0.5076 0.1081 (multiplicity 18)  1 Ni 2.02
F 0.0786 0.5393 0.3326 (multiplicity 18)  2 Ni 1.95

Uncorrected energy ... -4.686 eV per atom
Crystal system ... trigonal
DOS at the Fermi energy ... 8.48 states/eV/cell